SnSbPI2: relaxed, GGA-PBE.

Cell: 5.361 5.361 5.569 Å, 90.00 90.00 90.00°
Space group P4/mmm (No. 123)
Unique sites:
Sn  0.000  0.000  0.000 x1
Sb  0.500  0.500  0.000 x1
P  0.500  0.500  0.500 x1
I  0.000  0.500  0.500 x2

- Raw formation energy: 0.39 eV/atom
- Excess energy over the best structure of this formula in the dataset: 0.0 meV/atom
- E: -14.7 eV/cell